A crystal of Mg2AlCo relaxed with PBEsol, computed with SCAN.

crystal system	tetragonal
DFT formation energy	0.59	eV per formula unit
Fermi-level density of states	2.70	states/eV per cell

a = 3.859 Å, b = 3.869 Å, c = 4.140 Å
α = 90.00°, β = 90.00°, γ = 90.00°
Positions (direct):
1 Mg 0.500 0.500 0.000
2 Mg 0.000 0.000 0.000
3 Co 0.000 0.500 0.500
4 Al 0.500 0.000 0.500



A crystal of MgAlCo2 relaxed with PBEsol, computed with SCAN.

crystal system	monoclinic
DFT formation energy	-0.29	eV per formula unit
Fermi-level density of states	2.81	states/eV per cell

a = 2.730 Å, b = 4.262 Å, c = 4.770 Å
α = 108.95°, β = 106.63°, γ = 90.00°
Each line ends with the local moment (μB).
Positions (direct):
1 Co 0.730 0.281 0.461  1.25
2 Co 0.013 0.961 0.027  1.25
3 Mg 0.487 0.449 0.973  -0.03
4 Al 0.270 0.808 0.540  -0.04



A crystal of MgAlCo3 relaxed with PBEsol, computed with SCAN.

crystal system	cubic
DFT formation energy	6.63	eV per formula unit
Fermi-level density of states	1.55	states/eV per cell

a = 4.194 Å, b = 4.194 Å, c = 4.194 Å
α = 90.00°, β = 90.00°, γ = 90.00°
Each line ends with the local moment (μB).
Positions (direct):
1 Co 0.000 0.500 0.000  1.66
2 Co 0.500 0.000 0.000  1.66
3 Co 0.000 0.000 0.500  1.66
4 Mg 0.000 0.000 0.000  -0.07
5 Al 0.500 0.500 0.500  -0.05